Entry 1:
Compound: LaSm2AuSe6
Source: OQMD
Functional: PBE
Structure: optimized geometry

```
data_LaSm2AuSe6
_chemical_formula_sum 'La1 Sm2 Au1 Se6'
_cell_length_a 4.724
_cell_length_b 7.121
_cell_length_c 8.649
_cell_angle_alpha 93.50
_cell_angle_beta 102.76
_cell_angle_gamma 97.86
_symmetry_space_group_name_H-M 'P 1'
_symmetry_Int_Tables_number 1
loop_
_symmetry_equiv_pos_as_xyz
'x,y,z'
loop_
_atom_site_label
_atom_site_fract_x
_atom_site_fract_y
_atom_site_fract_z
_atom_site_occupancy
Sm1 0.351 0.456 0.220 1
Sm2 0.649 0.544 0.780 1
La1 0.000 0.000 0.500 1
Se1 0.133 0.303 0.871 1
Se2 0.867 0.697 0.129 1
Se3 0.452 0.735 0.491 1
Se4 0.194 0.808 0.801 1
Se5 0.548 0.265 0.509 1
Se6 0.806 0.192 0.199 1
Au1 0.000 0.000 0.000 1
```

As for the magnetic moment: 0.00 μB/atom. The calculation puts the calculated total energy at -52.549 eV/f.u. As for the space group: P-1, No. 2. As for the crystal system: triclinic. The calculation puts the calculated volume at 28.0 Å³/atom.

***

Entry 2:
Compound: LaSnTeAuSe2
Source: OQMD
Functional: PBE
Structure: optimized geometry

```
data_LaSnTeAuSe2
_chemical_formula_sum 'La2 Sn2 Te2 Au2 Se4'
_cell_length_a 7.431
_cell_length_b 7.431
_cell_length_c 11.423
_cell_angle_alpha 90.00
_cell_angle_beta 90.00
_cell_angle_gamma 147.17
_symmetry_space_group_name_H-M 'P 1'
_symmetry_Int_Tables_number 1
loop_
_symmetry_equiv_pos_as_xyz
'x,y,z'
loop_
_atom_site_label
_atom_site_fract_x
_atom_site_fract_y
_atom_site_fract_z
_atom_site_occupancy
Se1 0.357 0.643 0.070 1
Se2 0.643 0.357 0.570 1
Se3 0.357 0.643 0.430 1
Se4 0.643 0.357 0.930 1
Te1 0.107 0.893 0.250 1
Te2 0.893 0.107 0.750 1
Sn1 0.792 0.208 0.250 1
Sn2 0.208 0.792 0.750 1
La1 0.000 0.000 0.000 1
La2 0.000 0.000 0.500 1
Au1 0.475 0.525 0.250 1
Au2 0.525 0.475 0.750 1
```

As for the magnetic moment: 0.00 μB/atom. The calculation puts the calculated total energy at -27.570 eV/f.u. As for the space group: Cmcm, No. 63. As for the crystal system: orthorhombic. The calculation puts the calculated volume at 28.5 Å³/atom.

***

Entry 3:
Compound: SrLaTeAuSe2
Source: OQMD
Functional: PBE
Structure: optimized geometry

```
data_SrLaTeAuSe2
_chemical_formula_sum 'Sr2 La2 Te2 Au2 Se4'
_cell_length_a 7.579
_cell_length_b 7.579
_cell_length_c 11.514
_cell_angle_alpha 90.00
_cell_angle_beta 90.00
_cell_angle_gamma 147.17
_symmetry_space_group_name_H-M 'P 1'
_symmetry_Int_Tables_number 1
loop_
_symmetry_equiv_pos_as_xyz
'x,y,z'
loop_
_atom_site_label
_atom_site_fract_x
_atom_site_fract_y
_atom_site_fract_z
_atom_site_occupancy
Sr1 0.781 0.219 0.750 1
Sr2 0.219 0.781 0.250 1
Se1 0.363 0.637 0.570 1
Se2 0.363 0.637 0.930 1
Se3 0.637 0.363 0.070 1
Se4 0.637 0.363 0.430 1
Te1 0.898 0.102 0.250 1
Te2 0.102 0.898 0.750 1
Au1 0.523 0.477 0.250 1
Au2 0.477 0.523 0.750 1
La1 0.000 0.000 0.500 1
La2 0.000 0.000 0.000 1
```

As for the magnetic moment: 0.00 μB/atom. The calculation puts the calculated total energy at -28.662 eV/f.u. As for the space group: Cmcm, No. 63. As for the crystal system: orthorhombic. The calculation puts the calculated volume at 29.9 Å³/atom.

***

Entry 4:
Compound: LaSm2Zn2Si4Au2
Source: OQMD
Functional: PBE
Structure: optimized geometry

```
data_LaSm2Zn2Si4Au2
_chemical_formula_sum 'La1 Sm2 Zn2 Si4 Au2'
_cell_length_a 12.740
_cell_length_b 12.740
_cell_length_c 12.740
_cell_angle_alpha 160.88
_cell_angle_beta 160.70
_cell_angle_gamma 27.30
_symmetry_space_group_name_H-M 'P 1'
_symmetry_Int_Tables_number 1
loop_
_symmetry_equiv_pos_as_xyz
'x,y,z'
loop_
_atom_site_label
_atom_site_fract_x
_atom_site_fract_y
_atom_site_fract_z
_atom_site_occupancy
Au1 0.250 0.250 0.000 1
Au2 0.750 0.750 0.000 1
Si1 0.691 0.191 0.500 1
Si2 0.452 0.452 0.000 1
Si3 0.309 0.809 0.500 1
Si4 0.548 0.548 0.000 1
La1 0.000 0.000 0.000 1
Sm1 0.146 0.646 0.500 1
Sm2 0.854 0.354 0.500 1
Zn1 0.404 0.904 0.500 1
Zn2 0.596 0.096 0.500 1
```

As for the magnetic moment: 0.00 μB/atom. The calculation puts the calculated total energy at -52.042 eV/f.u. As for the space group: Immm, No. 71. As for the crystal system: orthorhombic. The calculation puts the calculated volume at 20.3 Å³/atom.

***

Entry 5:
Compound: La2SiSnAu2
Source: OQMD
Functional: PBE
Structure: optimized geometry

```
data_La2SiSnAu2
_chemical_formula_sum 'La2 Si1 Sn1 Au2'
_cell_length_a 4.647
_cell_length_b 4.647
_cell_length_c 8.019
_cell_angle_alpha 90.00
_cell_angle_beta 90.00
_cell_angle_gamma 120.00
_symmetry_space_group_name_H-M 'P 1'
_symmetry_Int_Tables_number 1
loop_
_symmetry_equiv_pos_as_xyz
'x,y,z'
loop_
_atom_site_label
_atom_site_fract_x
_atom_site_fract_y
_atom_site_fract_z
_atom_site_occupancy
La1 0.333 0.667 0.759 1
La2 0.333 0.667 0.241 1
Si1 0.000 0.000 0.969 1
Sn1 0.667 0.333 0.471 1
Au1 0.667 0.333 0.018 1
Au2 0.000 0.000 0.542 1
```

As for the magnetic moment: 0.00 μB/atom. The calculation puts the calculated total energy at -30.720 eV/f.u. As for the space group: P3m1, No. 156. As for the crystal system: trigonal. The calculation puts the calculated volume at 25.0 Å³/atom.

***

Entry 6:
Compound: SrLaSi3Au
Source: OQMD
Functional: PBE
Structure: optimized geometry

```
data_SrLaSi3Au
_chemical_formula_sum 'Sr2 La2 Si6 Au2'
_cell_length_a 8.564
_cell_length_b 8.396
_cell_length_c 6.156
_cell_angle_alpha 70.18
_cell_angle_beta 67.27
_cell_angle_gamma 42.55
_symmetry_space_group_name_H-M 'P 1'
_symmetry_Int_Tables_number 1
loop_
_symmetry_equiv_pos_as_xyz
'x,y,z'
loop_
_atom_site_label
_atom_site_fract_x
_atom_site_fract_y
_atom_site_fract_z
_atom_site_occupancy
La1 0.757 0.243 0.757 1
La2 0.243 0.757 0.243 1
Si1 0.326 0.836 0.674 1
Si2 0.162 0.162 0.838 1
Si3 0.674 0.164 0.326 1
Si4 0.838 0.838 0.162 1
Si5 0.164 0.674 0.836 1
Si6 0.836 0.326 0.164 1
Sr1 0.250 0.250 0.250 1
Sr2 0.750 0.750 0.750 1
Au1 0.334 0.334 0.666 1
Au2 0.666 0.666 0.334 1
```

As for the magnetic moment: 0.00 μB/atom. As for the relative energy among the computed polymorphs: 0.000 eV/atom. As for the space group: Fmmm, No. 69. As for the crystal system: orthorhombic. The calculation puts the calculated volume at 22.9 Å³/atom.

***

Entry 7:
Compound: LaTbSi3Au
Source: OQMD
Functional: PBE
Structure: optimized geometry

```
data_LaTbSi3Au
_chemical_formula_sum 'La2 Tb2 Si6 Au2'
_cell_length_a 8.374
_cell_length_b 8.288
_cell_length_c 5.961
_cell_angle_alpha 69.81
_cell_angle_beta 68.27
_cell_angle_gamma 41.92
_symmetry_space_group_name_H-M 'P 1'
_symmetry_Int_Tables_number 1
loop_
_symmetry_equiv_pos_as_xyz
'x,y,z'
loop_
_atom_site_label
_atom_site_fract_x
_atom_site_fract_y
_atom_site_fract_z
_atom_site_occupancy
Si1 0.836 0.836 0.164 1
Si2 0.164 0.670 0.836 1
Si3 0.836 0.330 0.164 1
Si4 0.670 0.164 0.330 1
Si5 0.330 0.836 0.670 1
Si6 0.164 0.164 0.836 1
Tb1 0.250 0.250 0.250 1
Tb2 0.750 0.750 0.750 1
Au1 0.331 0.331 0.669 1
Au2 0.669 0.669 0.331 1
La1 0.244 0.756 0.244 1
La2 0.756 0.244 0.756 1
```

As for the magnetic moment: 0.00 μB/atom. As for the relative energy among the computed polymorphs: 0.000 eV/atom. As for the space group: Fmmm, No. 69. As for the crystal system: orthorhombic. The calculation puts the calculated volume at 21.3 Å³/atom.

***

Entry 8:
Compound: LaSi2TcAu
Source: OQMD
Functional: PBE
Structure: optimized geometry

```
data_LaSi2TcAu
_chemical_formula_sum 'La1 Si2 Tc1 Au1'
_cell_length_a 6.046
_cell_length_b 6.046
_cell_length_c 6.046
_cell_angle_alpha 139.25
_cell_angle_beta 139.25
_cell_angle_gamma 58.99
_symmetry_space_group_name_H-M 'P 1'
_symmetry_Int_Tables_number 1
loop_
_symmetry_equiv_pos_as_xyz
'x,y,z'
loop_
_atom_site_label
_atom_site_fract_x
_atom_site_fract_y
_atom_site_fract_z
_atom_site_occupancy
Si1 0.120 0.120 0.000 1
Si2 0.880 0.880 0.000 1
La1 0.500 0.500 0.000 1
Tc1 0.250 0.750 0.500 1
Au1 0.750 0.250 0.500 1
```

As for the magnetic moment: 0.00 μB/atom. The calculation puts the calculated total energy at -32.390 eV/f.u. As for the space group: I-4m2, No. 119. As for the crystal system: tetragonal. The calculation puts the calculated volume at 18.7 Å³/atom.

***

Entry 9:
Compound: LaYSi3Au
Source: OQMD
Functional: PBE
Structure: optimized geometry

```
data_LaYSi3Au
_chemical_formula_sum 'La2 Y2 Si6 Au2'
_cell_length_a 8.370
_cell_length_b 8.284
_cell_length_c 5.956
_cell_angle_alpha 69.82
_cell_angle_beta 68.27
_cell_angle_gamma 41.91
_symmetry_space_group_name_H-M 'P 1'
_symmetry_Int_Tables_number 1
loop_
_symmetry_equiv_pos_as_xyz
'x,y,z'
loop_
_atom_site_label
_atom_site_fract_x
_atom_site_fract_y
_atom_site_fract_z
_atom_site_occupancy
La1 0.756 0.244 0.756 1
La2 0.244 0.756 0.244 1
Si1 0.330 0.836 0.670 1
Si2 0.836 0.330 0.164 1
Si3 0.670 0.164 0.330 1
Si4 0.836 0.836 0.164 1
Si5 0.164 0.164 0.836 1
Si6 0.164 0.670 0.836 1
Au1 0.670 0.670 0.330 1
Au2 0.330 0.330 0.670 1
Y1 0.250 0.250 0.250 1
Y2 0.750 0.750 0.750 1
```

As for the magnetic moment: 0.00 μB/atom. As for the relative energy among the computed polymorphs: 0.000 eV/atom. As for the space group: Fmmm, No. 69. As for the crystal system: orthorhombic. The calculation puts the calculated volume at 21.2 Å³/atom.

***

Entry 10:
Compound: LaY2Zn2Si4Au2
Source: OQMD
Functional: PBE
Structure: optimized geometry

```
data_LaY2Zn2Si4Au2
_chemical_formula_sum 'La1 Y2 Zn2 Si4 Au2'
_cell_length_a 12.699
_cell_length_b 12.699
_cell_length_c 12.699
_cell_angle_alpha 160.96
_cell_angle_beta 160.86
_cell_angle_gamma 27.13
_symmetry_space_group_name_H-M 'P 1'
_symmetry_Int_Tables_number 1
loop_
_symmetry_equiv_pos_as_xyz
'x,y,z'
loop_
_atom_site_label
_atom_site_fract_x
_atom_site_fract_y
_atom_site_fract_z
_atom_site_occupancy
Zn1 0.404 0.904 0.500 1
Zn2 0.596 0.096 0.500 1
Au1 0.749 0.749 0.000 1
Au2 0.251 0.251 0.000 1
Y1 0.146 0.646 0.500 1
Y2 0.854 0.354 0.500 1
Si1 0.690 0.190 0.500 1
Si2 0.549 0.549 0.000 1
Si3 0.310 0.810 0.500 1
Si4 0.451 0.451 0.000 1
La1 0.000 0.000 0.000 1
```

As for the magnetic moment: 0.00 μB/atom. The calculation puts the calculated total energy at -55.311 eV/f.u. As for the space group: Immm, No. 71. As for the crystal system: orthorhombic. The calculation puts the calculated volume at 19.9 Å³/atom.

***

Entry 11:
Compound: La2YZn2Si4Au2
Source: OQMD
Functional: PBE
Structure: optimized geometry

```
data_La2YZn2Si4Au2
_chemical_formula_sum 'La2 Y1 Zn2 Si4 Au2'
_cell_length_a 12.771
_cell_length_b 12.771
_cell_length_c 12.771
_cell_angle_alpha 160.82
_cell_angle_beta 160.68
_cell_angle_gamma 27.36
_symmetry_space_group_name_H-M 'P 1'
_symmetry_Int_Tables_number 1
loop_
_symmetry_equiv_pos_as_xyz
'x,y,z'
loop_
_atom_site_label
_atom_site_fract_x
_atom_site_fract_y
_atom_site_fract_z
_atom_site_occupancy
Si1 0.691 0.191 0.500 1
Si2 0.453 0.453 0.000 1
Si3 0.547 0.547 0.000 1
Si4 0.309 0.809 0.500 1
Zn1 0.407 0.907 0.500 1
Zn2 0.593 0.093 0.500 1
Y1 0.000 0.000 0.000 1
La1 0.855 0.355 0.500 1
La2 0.145 0.645 0.500 1
Au1 0.750 0.750 0.000 1
Au2 0.250 0.250 0.000 1
```

As for the magnetic moment: 0.00 μB/atom. The calculation puts the calculated total energy at -54.029 eV/f.u. As for the space group: Immm, No. 71. As for the crystal system: orthorhombic. The calculation puts the calculated volume at 20.6 Å³/atom.